First-principles (PBE) data for an optimized crystal structure of NbSbPtI2, as listed in Alexandria via LeMat-Bulk.

Cell lengths 5.305, 5.305, 5.593 Å; angles 90.00, 90.00, 90.00 degrees
Space group P4/mmm (No. 123)
Asymmetric unit:
Nb1 0.000 0.000 0.000 (multiplicity 1)
Sb1 0.000 0.000 0.500 (multiplicity 1)
Pt1 0.500 0.500 0.500 (multiplicity 1)
I1 0.000 0.500 0.000 (multiplicity 2)

## Properties
- Volume: 157.4 Å³/cell
- Final energy: -3.80 eV per atom
- Formation energy without anion corrections: 0.871 eV/atom
- Polymorph energy (0 for the lowest one): 0.0 meV per atom